This record from Alexandria describes a relaxed structure of Sr2TaCo. The functional is PBEsol.

Values from the calculation:
Its formation energy is 1.188 eV per atom. The calculation puts the energy relative to the lowest polymorph listed for this composition at 0.6108 eV/atom. The calculation puts the density of states at the Fermi level at 9.3 states/eV/cell. For the raw total energy, the calculation gives -4.8046 eV per atom.

```
data_Sr2TaCo
_cell_length_a 4.077
_cell_length_b 4.077
_cell_length_c 10.461
_cell_angle_alpha 90.00
_cell_angle_beta 90.00
_cell_angle_gamma 90.00
_symmetry_space_group_name_H-M 'I 4/m m m'
_symmetry_Int_Tables_number 139
_symmetry_space_group_name_Hall '-I 4 2'
loop_
_atom_site_label
_atom_site_type_symbol
_atom_site_fract_x
_atom_site_fract_y
_atom_site_fract_z
Sr1 Sr 0.000 0.500 0.250
Ta1 Ta 0.000 0.000 0.000
Co1 Co 0.000 0.000 0.500
```

***

This record from Alexandria describes a relaxed structure of SrTaCo2. The functional is PBEsol.

Values from the calculation:
Its formation energy is 0.147 eV per atom. The calculation puts the energy relative to the lowest polymorph listed for this composition at 0.0000 eV/atom. The calculation puts the density of states at the Fermi level at 4.2 states/eV/cell. For the raw total energy, the calculation gives -7.3190 eV per atom.

```
data_SrTaCo2
_cell_length_a 3.082
_cell_length_b 3.082
_cell_length_c 7.177
_cell_angle_alpha 90.00
_cell_angle_beta 90.00
_cell_angle_gamma 90.00
_symmetry_space_group_name_H-M 'P 4/m m m'
_symmetry_Int_Tables_number 123
_symmetry_space_group_name_Hall '-P 4 2'
loop_
_atom_site_label
_atom_site_type_symbol
_atom_site_fract_x
_atom_site_fract_y
_atom_site_fract_z
Sr1 Sr 0.000 0.000 0.000
Ta1 Ta 0.000 0.000 0.500
Co1 Co 0.500 0.500 0.317
```

***

This record from Alexandria describes a relaxed structure of Sr2TaCo. The functional is PBEsol.

Values from the calculation:
Its formation energy is 0.577 eV per atom. The calculation puts the energy relative to the lowest polymorph listed for this composition at 0.0000 eV/atom. The calculation puts the density of states at the Fermi level at 9.5 states/eV/cell. For the raw total energy, the calculation gives -5.4154 eV per atom.

```
data_Sr2TaCo
_cell_length_a 3.475
_cell_length_b 5.534
_cell_length_c 10.922
_cell_angle_alpha 90.00
_cell_angle_beta 90.00
_cell_angle_gamma 90.00
_symmetry_space_group_name_H-M 'I m m 2'
_symmetry_Int_Tables_number 44
loop_
_symmetry_equiv_pos_as_xyz
'x,y,z'
'-x,-y,z'
'-x,y,z'
'x,-y,z'
'x+1/2,y+1/2,z+1/2'
'-x+1/2,-y+1/2,z+1/2'
'-x+1/2,y+1/2,z+1/2'
'x+1/2,-y+1/2,z+1/2'
loop_
_atom_site_label
_atom_site_type_symbol
_atom_site_fract_x
_atom_site_fract_y
_atom_site_fract_z
Sr1 Sr 0.000 0.000 0.000
Sr2 Sr 0.000 0.500 0.198
Ta1 Ta 0.000 0.500 0.814
Co1 Co 0.000 0.000 0.450
```

***

This record from Alexandria describes a relaxed structure of SrTa2Co. The functional is PBEsol.

Values from the calculation:
Its formation energy is 0.983 eV per atom. The calculation puts the energy relative to the lowest polymorph listed for this composition at 0.4342 eV/atom. The calculation puts the density of states at the Fermi level at 25.5 states/eV/cell. For the raw total energy, the calculation gives -7.6871 eV per atom.

```
data_SrTa2Co
_cell_length_a 6.670
_cell_length_b 6.670
_cell_length_c 6.670
_cell_angle_alpha 90.00
_cell_angle_beta 90.00
_cell_angle_gamma 90.00
_symmetry_space_group_name_H-M 'F -4 3 m'
_symmetry_Int_Tables_number 216
_symmetry_space_group_name_Hall 'F -4 2 3'
loop_
_atom_site_label
_atom_site_type_symbol
_atom_site_fract_x
_atom_site_fract_y
_atom_site_fract_z
Sr1 Sr 0.000 0.000 0.000
Ta1 Ta 0.000 0.000 0.500
Ta2 Ta 0.250 0.250 0.750
Co1 Co 0.250 0.250 0.250
```